[1]
VASP calculation (SCAN) on a PBEsol-optimized structure of Cu2SeCl.

Unit cell a=4.458 b=4.458 c=4.458 alpha=60.00 beta=60.00 gamma=60.00
Positions (direct):
1 Cu 0.000 0.000 0.000
2 Cu 0.250 0.250 0.250
3 Se 0.500 0.500 0.500
4 Cl 0.750 0.750 0.750


[2]
VASP calculation (SCAN) on a PBEsol-optimized structure of Cu2SeCl.

Unit cell a=5.121 b=5.121 c=5.121 alpha=142.85 beta=96.00 gamma=95.65
Positions (direct):
1 Cu 0.249 0.249 0.000
2 Cu 0.751 0.751 0.000
3 Se 0.500 0.000 0.500
4 Cl 0.000 0.500 0.500


| no. | formation energy (no corrections) (eV per atom) | calculated total energy (eV per atom) |
| --- | --- | --- |
| 1 | 0.62 | -13.995 |
| 2 | -0.10 | -14.710 |